Entry from the Alexandria database: crystalline AcTbRhPb at its relaxed geometry (GGA-PBE).

POSCAR file:
```
AcTbRhPb
1.0
7.639 0.000 0.000
0.000 7.639 0.000
0.000 0.000 7.639
Ac Tb Rh Pb
4 4 4 4
direct
0.000 0.000 0.000
0.000 0.500 0.500
0.500 0.000 0.500
0.500 0.500 0.000
0.000 0.000 0.500
0.000 0.500 0.000
0.500 0.000 0.000
0.500 0.500 0.500
0.250 0.250 0.750
0.250 0.750 0.250
0.750 0.250 0.250
0.750 0.750 0.750
0.250 0.250 0.250
0.250 0.750 0.750
0.750 0.250 0.750
0.750 0.750 0.250
```

- Space group: F-43m
- Energy relative to the elements: -1.53 eV/f.u.
- V: 27.86 Å³/atom
- Calculated total energy: -85.3 eV per cell